VASP calculation (PBE) on TaVRh4 after structural relaxation. Values from VASP.

Calculated total energy ... -8.615 eV per atom
Energy of formation ... -5.051 kcal/mol of atoms

Geometry as Quantum ESPRESSO input:
```
&SYSTEM
  ibrav = 0, nat = 12, ntyp = 3
/
ATOMIC_SPECIES
Ta 180.95 Ta.upf
V 50.94 V.upf
Rh 102.91 Rh.upf
CELL_PARAMETERS angstrom
8.681 0.000 0.000
0.000 2.760 0.000
0.000 0.000 7.456
ATOMIC_POSITIONS crystal
Ta 0.250 0.000 0.180
Ta 0.750 0.000 0.820
V 0.250 0.000 0.548
V 0.750 0.000 0.452
Rh 0.000 0.000 0.000
Rh 0.022 0.500 0.330
Rh 0.250 0.500 0.854
Rh 0.478 0.500 0.330
Rh 0.500 0.000 0.000
Rh 0.522 0.500 0.670
Rh 0.750 0.500 0.146
Rh 0.978 0.500 0.670
```